Entry from Alexandria via LeMat-Bulk: a relaxed structure of Sm2CdPtO5 (GGA-PBE).

a = 5.809 Å, b = 6.688 Å, c = 6.688 Å
α = 90.00°, β = 90.00°, γ = 90.00°
Positions (direct):
Sm 0.500 0.673 0.173
Sm 0.500 0.173 0.327
Sm 0.500 0.827 0.673
Sm 0.500 0.327 0.827
Cd 0.000 0.500 0.500
Cd 0.000 0.000 0.000
Pt 0.000 0.000 0.500
Pt 0.000 0.500 0.000
O 0.500 0.500 0.500
O 0.500 0.000 0.000
O 0.255 0.142 0.642
O 0.255 0.858 0.358
O 0.255 0.358 0.142
O 0.255 0.642 0.858
O 0.745 0.142 0.642
O 0.745 0.642 0.858
O 0.745 0.858 0.358
O 0.745 0.358 0.142

crystal system: tetragonal
V: 14.44 Å³/atom
calculated total energy: -6.597 eV per atom
uncorrected formation energy: -18.19 eV per formula unit
calculated density: 8.80 g/cm3
space-group type: P4/mbm


Entry from Alexandria via LeMat-Bulk: a relaxed structure of CaRhAu2 (GGA-PBE).

a = 3.684 Å, b = 3.425 Å, c = 7.071 Å
α = 60.99°, β = 90.00°, γ = 90.00°
Positions (direct):
Rh 0.500 0.750 0.750
Ca 0.500 0.250 0.250
Au 0.000 0.025 0.974
Au 0.000 0.475 0.526

crystal system: orthorhombic
V: 19.51 Å³/atom
calculated total energy: -4.232 eV per atom
calculated density: 11.42 g/cm3
DFT formation energy: -255 meV/atom
space-group type: Pmmm


> What is the formula in the first record?

Sm2CdPtO5


> Among the records above, which one has the highest calculated density?

CaRhAu2


> What is the formula in the second record?

CaRhAu2


> Among the records above, which one has the highest calculated density?

CaRhAu2